(1)
Computed, not measured: crystalline Ni2RuI at its relaxed geometry at the GGA-PBE level of DFT.

DFT total energy (Ry/atom): -0.3392
Polymorph energy (0 for the lowest one) (meV/atom): 145.7
Symmetry: I-42d (122)

Lattice parameters (Å, degrees): 6.1046 6.1046 6.1579 60.29 60.29 90.00
Closest atoms and distances in Å follow each position.
Positions (direct):
Ni1 0.1589 0.6250 0.2500  2 Ru 2.30, 2 I 2.56
Ru1 0.2500 0.7500 0.5000  4 Ni 2.30
Ni2 0.5911 0.1250 0.2500  2 Ru 2.30, 2 I 2.56
Ni3 0.8750 0.8411 0.7500  2 Ru 2.30, 2 I 2.56
I1 0.7500 0.2500 0.5000  4 Ni 2.56
Ni4 0.3750 0.4089 0.7500  2 Ru 2.30, 2 I 2.56
I2 0.0000 0.0000 0.0000  4 Ni 2.56
Ru2 0.5000 0.5000 0.0000  4 Ni 2.30

***

(2)
Computed, not measured: crystalline ZrH at its relaxed geometry at the GGA-PBE level of DFT.

DFT total energy (Ry/atom): -0.4644
Symmetry: P1 (1)

Lattice parameters (Å, degrees): 3.1965 3.2280 5.2189 90.66 89.64 108.82
Closest atoms and distances in Å follow each position.
Positions (direct):
H1 0.6646 0.4181 0.7719  4 Zr 2.04-2.10
H2 0.7989 0.8220 0.3990  4 Zr 2.07-2.12, 1 H 2.31
Zr1 0.2856 0.7869 0.6522  5 H 2.06-2.10
Zr2 0.7765 0.3004 0.1437  3 H 2.04-2.12

***

(3)
Computed, not measured: crystalline BaTiS2F at its relaxed geometry at the GGA-PBE level of DFT.

DFT total energy (Ry/atom): -0.4534
Symmetry: P4/mmm (123)

Lattice parameters (Å, degrees): 4.9385 4.9385 4.1990 90.00 90.00 90.00
Closest atoms and distances in Å follow each position.
Positions (direct):
F1 0.0000 0.0000 0.5000  2 Ti 2.10
S1 0.5000 0.0000 0.0000  2 Ti 2.47
S2 0.0000 0.5000 0.0000  2 Ti 2.47
Ti1 0.0000 0.0000 0.0000  2 F 2.10
Ba1 0.5000 0.5000 0.5000  8 S 3.24, 4 F 3.49

***

(4)
Computed, not measured: crystalline ScTlCl2 at its relaxed geometry at the GGA-PBE level of DFT.

DFT total energy (Ry/atom): -0.2793
Polymorph energy (0 for the lowest one) (meV/atom): 609.1
Symmetry: I-4m2 (119)

Lattice parameters (Å, degrees): 6.3866 6.3866 6.3866 142.40 142.40 54.23
Closest atoms and distances in Å follow each position.
Positions (direct):
Cl1 0.0000 0.0000 0.0000  4 Sc 2.91
Tl1 0.7500 0.2500 0.5000  4 Cl 2.91
Sc1 0.5000 0.5000 0.0000  4 Cl 2.91
Cl2 0.2500 0.7500 0.5000  4 Tl 2.91

***

(5)
Computed, not measured: crystalline Cr2In2H at its relaxed geometry at the GGA-PBE level of DFT.

DFT total energy (Ry/atom): -0.3786
Symmetry: P4/mbm (127)

Lattice parameters (Å, degrees): 5.8103 5.8103 4.7316 90.00 90.00 90.00
Closest atoms and distances in Å follow each position.
Positions (direct):
Cr1 0.3344 0.8344 0.0000  2 H 2.17
In1 0.8306 0.3306 0.5000  2 Cr 2.73, 5 In 2.78-3.05
In2 0.1694 0.6694 0.5000  2 Cr 2.73, 5 In 2.78-3.05
In3 0.3306 0.1694 0.5000  2 Cr 2.73, 5 In 2.78-3.05
H1 0.5000 0.5000 0.0000  4 Cr 2.17
Cr2 0.8344 0.6656 0.0000  2 H 2.17
H2 0.0000 0.0000 0.0000  4 Cr 2.17
Cr3 0.1656 0.3344 0.0000  2 H 2.17
In4 0.6694 0.8306 0.5000  2 Cr 2.73, 5 In 2.78-3.05
Cr4 0.6656 0.1656 0.0000  2 H 2.17

***

(6)
Computed, not measured: crystalline TaPAu2 at its relaxed geometry at the GGA-PBE level of DFT.

DFT total energy (Ry/atom): -0.4247
DFT formation energy (eV per atom): 0.1757
Symmetry: F-43m (216)

Lattice parameters (Å, degrees): 4.5759 4.5759 4.5759 60.00 60.00 60.00
Closest atoms and distances in Å follow each position.
Positions (direct):
Au1 0.2500 0.2500 0.2500  4 P 2.80, 4 Au 2.80
Au2 0.0000 0.0000 0.0000  4 Ta 2.80, 4 Au 2.80
P1 0.5000 0.5000 0.5000  4 Ta 2.80, 4 Au 2.80
Ta1 0.7500 0.7500 0.7500  4 Au 2.80, 4 P 2.80

***

(7)
Computed, not measured: crystalline CuSiC3 at its relaxed geometry at the GGA-PBE level of DFT.

DFT total energy (Ry/atom): -0.4953
Polymorph energy (0 for the lowest one) (meV/atom): 225.2
Symmetry: Cm (8)

Lattice parameters (Å, degrees): 7.2935 2.5629 5.7603 90.00 99.52 90.00
Closest atoms and distances in Å follow each position.
Positions (direct):
C1 0.0050 0.5000 0.0846  2 C 1.45
Si1 0.3633 0.5000 0.6504  4 C 1.87-1.90
Si2 0.3633 0.0000 0.1504  4 C 1.87-1.90
C2 0.4657 0.5000 0.9698  3 Si 1.87-1.88, 1 Cu 1.95
C3 0.0050 0.0000 0.5846  2 C 1.45
C4 0.0994 0.0000 0.1015  2 C 1.45
C5 0.0994 0.5000 0.6015  2 C 1.45
Cu1 0.7370 0.0000 0.5302  2 C 1.93-1.95
C6 0.4657 0.0000 0.4698  3 Si 1.87-1.88, 1 Cu 1.95
Cu2 0.7370 0.5000 0.0302  2 C 1.93-1.95

***

(8)
Computed, not measured: crystalline Li2DyGe2 at its relaxed geometry at the GGA-PBE level of DFT.

DFT total energy (Ry/atom): -0.3014
DFT formation energy (eV per atom): -0.5675
Symmetry: I4/mmm (139)

Lattice parameters (Å, degrees): 4.0319 4.0319 6.4173 108.31 108.31 90.00
Closest atoms and distances in Å follow each position.
Positions (direct):
Dy1 0.0000 0.0000 0.0000  8 Ge 3.11
Li1 0.7500 0.2500 0.5000  4 Ge 2.60, 4 Li 2.85
Li2 0.2500 0.7500 0.5000  4 Ge 2.60, 4 Li 2.85
Ge1 0.3928 0.3928 0.7856  1 Ge 2.47, 4 Li 2.60
Ge2 0.6072 0.6072 0.2144  1 Ge 2.47, 4 Li 2.60

***

(9)
Computed, not measured: crystalline Ca2PrTaN4 at its relaxed geometry at the GGA-PBE level of DFT.

DFT total energy (Ry/atom): -0.5787
Symmetry: P2/m (10)

Lattice parameters (Å, degrees): 3.3896 6.0228 5.9966 109.81 90.00 90.00
Closest atoms and distances in Å follow each position.
Positions (direct):
N1 0.5000 0.7849 0.7824  2 Ta 2.26, 1 Ca 2.46, 1 Pr 2.48
N2 0.0000 0.2140 0.7837  1 Ta 2.12
Ta1 0.0000 0.0000 0.0000  6 N 2.12-2.26
Ca1 0.0000 0.5000 0.5000  6 N 2.59-2.80
N3 0.5000 0.2151 0.2176  2 Ta 2.26, 1 Ca 2.46, 1 Pr 2.48
Pr1 0.5000 0.5000 0.0000  6 N 2.45-2.48
Ca2 0.5000 0.0000 0.5000  6 N 2.44-2.46
N4 0.0000 0.7860 0.2163  1 Ta 2.12

***

(10)
Computed, not measured: crystalline Nd5ErTm12 at its relaxed geometry at the GGA-PBE level of DFT.

DFT total energy (Ry/atom): -0.3333
DFT formation energy (eV per atom): 0.0241
Symmetry: C2/m (12)

Lattice parameters (Å, degrees): 10.6031 10.6148 6.1322 106.60 90.00 60.03
Closest atoms and distances in Å follow each position.
Positions (direct):
Tm1 0.6670 0.3314 0.9989  7 Tm 3.51-3.56, 4 Nd 3.53-3.56, 1 Er 3.53
Tm2 0.1670 0.0000 0.5001  7 Tm 3.52-3.54, 3 Nd 3.53, 2 Er 3.54
Nd1 0.1657 0.6684 0.5014  10 Tm 3.51-3.56, 1 Er 3.54, 1 Nd 3.56
Tm3 0.9984 0.6686 0.0010  7 Tm 3.51-3.56, 4 Nd 3.53-3.56, 1 Er 3.53
Tm4 0.5022 0.3333 0.5009  5 Nd 3.51-3.56, 7 Tm 3.52-3.58
Nd2 0.3334 0.3334 0.0012  10 Tm 3.53-3.56, 2 Nd 3.55-3.56
Tm5 0.1646 0.3333 0.5009  5 Nd 3.51-3.56, 7 Tm 3.52-3.58
Tm6 0.6697 0.0000 0.9999  1 Er 3.50, 7 Tm 3.51-3.60, 4 Nd 3.55-3.56
Er1 0.0000 0.0000 0.0000  10 Tm 3.50-3.54, 2 Nd 3.54
Tm7 0.3330 0.6686 0.0011  7 Tm 3.51-3.56, 4 Nd 3.53-3.56, 1 Er 3.53
Tm8 0.3303 0.0000 0.0001  1 Er 3.50, 7 Tm 3.51-3.60, 4 Nd 3.55-3.56
Nd3 0.6667 0.6666 0.9988  10 Tm 3.53-3.56, 2 Nd 3.55-3.56
Nd4 0.8343 0.3316 0.4986  10 Tm 3.51-3.56, 1 Er 3.54, 1 Nd 3.56
Nd5 0.5000 0.0000 0.5000  10 Tm 3.53-3.56, 2 Nd 3.55
Tm9 0.0016 0.3314 0.9990  7 Tm 3.51-3.56, 4 Nd 3.53-3.56, 1 Er 3.53
Tm10 0.8354 0.6667 0.4991  5 Nd 3.51-3.56, 7 Tm 3.52-3.58
Tm11 0.4978 0.6667 0.4991  5 Nd 3.51-3.56, 7 Tm 3.52-3.58
Tm12 0.8330 0.0000 0.4999  7 Tm 3.52-3.54, 3 Nd 3.53, 2 Er 3.54

***

(11)
Computed, not measured: crystalline Y2TaAl2Ir5 at its relaxed geometry at the GGA-PBE level of DFT.

DFT total energy (Ry/atom): -0.6216
DFT formation energy (eV per atom): -0.7999
Symmetry: P4/mbm (127)

Lattice parameters (Å, degrees): 3.5834 9.7904 9.7904 90.00 90.00 90.00
Closest atoms and distances in Å follow each position.
Positions (direct):
Al1 0.0000 0.6235 0.8765  6 Ir 2.48-2.52
Ir1 0.5000 0.9340 0.2042  2 Al 2.52, 2 Ta 2.76
Al2 0.0000 0.8765 0.3765  6 Ir 2.48-2.52
Ir2 0.5000 0.0660 0.7958  2 Al 2.52, 2 Ta 2.76
Ir3 0.5000 0.7958 0.9340  2 Al 2.52, 2 Ta 2.76
Ir4 0.5000 0.2042 0.0660  2 Al 2.52, 2 Ta 2.76
Ta1 0.0000 0.5000 0.5000  8 Ir 2.76
Ir5 0.5000 0.0000 0.5000  4 Al 2.48
Al3 0.0000 0.1235 0.6235  6 Ir 2.48-2.52
Al4 0.0000 0.3765 0.1235  6 Ir 2.48-2.52
Y1 0.0000 0.1743 0.3257  3 Al 2.80-2.96, 6 Ir 3.01-3.12
Ir6 0.5000 0.5000 0.0000  4 Al 2.48
Ir7 0.5000 0.2958 0.5660  2 Al 2.52, 2 Ta 2.76
Ir8 0.5000 0.7042 0.4340  2 Al 2.52, 2 Ta 2.76
Y2 0.0000 0.3257 0.8257  3 Al 2.80-2.96, 6 Ir 3.01-3.12
Ta2 0.0000 0.0000 0.0000  8 Ir 2.76
Ir9 0.5000 0.5660 0.7042  2 Al 2.52, 2 Ta 2.76
Y3 0.0000 0.8257 0.6743  3 Al 2.80-2.96, 6 Ir 3.01-3.12
Ir10 0.5000 0.4340 0.2958  2 Al 2.52, 2 Ta 2.76
Y4 0.0000 0.6743 0.1743  3 Al 2.80-2.96, 6 Ir 3.01-3.12

***

(12)
Computed, not measured: crystalline ScGaSb at its relaxed geometry at the GGA-PBE level of DFT.

DFT total energy (Ry/atom): -0.3694
Polymorph energy (0 for the lowest one) (meV/atom): 0.0
Symmetry: Aem2 (39)

Lattice parameters (Å, degrees): 4.0577 4.0577 8.2012 90.00 90.00 89.99
Closest atoms and distances in Å follow each position.
Positions (direct):
Ga1 0.8486 0.8486 0.5000  4 Ga 2.87, 2 Sc 3.14
Sc1 0.8307 0.3307 0.7995  5 Sb 2.88-3.02, 2 Ga 3.14
Sc2 0.3307 0.8307 0.2005  5 Sb 2.88-3.02, 2 Ga 3.14
Sb1 0.8300 0.3300 0.1677  5 Sc 2.88-3.02
Ga2 0.3486 0.3486 0.5000  4 Ga 2.87, 2 Sc 3.14
Sb2 0.3300 0.8300 0.8323  5 Sc 2.88-3.02

***

(13)
Computed, not measured: crystalline Nd3SnIr at its relaxed geometry at the GGA-PBE level of DFT.

DFT total energy (Ry/atom): -0.4321
DFT formation energy (eV per atom): -0.4451
Polymorph energy (0 for the lowest one) (meV/atom): 0.0
Symmetry: P2_1/m (11)

Lattice parameters (Å, degrees): 5.4126 5.7013 10.0509 90.00 89.87 90.00
Closest atoms and distances in Å follow each position.
Positions (direct):
Sn1 0.9998 0.2500 0.1312  6 Nd 3.35-3.59
Nd1 0.9979 0.7500 0.3477  2 Ir 2.72
Nd2 0.4992 0.2500 0.3272  3 Ir 2.90-2.96
Ir1 0.5024 0.2500 0.6217  6 Nd 2.72-2.96
Ir2 0.4976 0.7500 0.3783  6 Nd 2.72-2.96
Sn2 0.0002 0.7500 0.8688  6 Nd 3.35-3.59
Nd3 0.4986 0.7500 0.0914  1 Ir 2.88
Nd4 0.0021 0.2500 0.6523  2 Ir 2.72
Nd5 0.5014 0.2500 0.9086  1 Ir 2.88
Nd6 0.5008 0.7500 0.6728  3 Ir 2.90-2.96

***

| no. | DOS(E_F) (states/eV/cell) | M_tot (μB/cell) |
| --- | --- | --- |
| 1 | 12.97 | 0.00 |
| 2 | 3.13 | 0.00 |
| 3 | 1.55 | 0.94 |
| 4 | 1.90 | 0.00 |
| 5 | 8.25 | 11.80 |
| 6 | 3.54 | 0.00 |
| 7 | 2.66 | 0.00 |
| 8 | 1.69 | 0.00 |
| 9 | 0.15 | 0.00 |
| 10 | 22.96 | 0.00 |
| 11 | 8.32 | 0.00 |
| 12 | 2.64 | 0.00 |
| 13 | 7.92 | 0.00 |